VASP calculation (GGA-PBE) on a relaxed CrSiRh2 crystal.

a = 4.215 Å, b = 4.215 Å, c = 4.215 Å
α = 60.00°, β = 60.00°, γ = 60.00°
Element x y z (fractional)
Cr 0.500 0.500 0.500
Rh 0.000 0.000 0.000
Rh 0.250 0.250 0.250
Si 0.750 0.750 0.750

Properties
For the uncorrected formation energy, the calculation gives -0.13 eV per atom. For the density of states at the Fermi level, the calculation gives 4.97 states/eV/f.u. The calculation puts the total energy at -30.29 eV/f.u.

---

VASP calculation (GGA-PBE) on a relaxed CrSiRh2 crystal.

a = 2.785 Å, b = 2.785 Å, c = 6.772 Å
α = 90.00°, β = 90.00°, γ = 90.00°
Last column: magnetic moment on the atom in μB.
Element x y z (fractional)
Cr 0.500 0.500 0.750  1.27
Rh 0.000 0.000 0.026  0.04
Rh 0.000 0.000 0.474  0.04
Si 0.500 0.500 0.250  0.01

Properties
For the uncorrected formation energy, the calculation gives -0.37 eV per atom. For the density of states at the Fermi level, the calculation gives 3.79 states/eV/f.u. The calculation puts the total energy at -31.22 eV/f.u.

---

VASP calculation (GGA-PBE) on a relaxed CrSiRh2 crystal.

a = 4.683 Å, b = 4.683 Å, c = 4.683 Å
α = 133.19°, β = 133.19°, γ = 68.36°
Last column: magnetic moment on the atom in μB.
Element x y z (fractional)
Cr 0.750 0.250 0.500  2.48
Rh 0.250 0.750 0.500  -0.02
Rh 0.000 0.000 0.000  -0.25
Si 0.500 0.500 0.000  -0.04

Properties
For the uncorrected formation energy, the calculation gives -0.34 eV per atom. For the density of states at the Fermi level, the calculation gives 2.73 states/eV/f.u. The calculation puts the total energy at -31.11 eV/f.u.

---

VASP calculation (GGA-PBE) on a relaxed Cr2SiRh2 crystal.

a = 3.748 Å, b = 3.748 Å, c = 5.783 Å
α = 71.09°, β = 71.09°, γ = 90.00°
Element x y z (fractional)
Cr 0.593 0.593 0.814
Cr 0.407 0.407 0.186
Rh 0.250 0.750 0.500
Rh 0.750 0.250 0.500
Si 0.000 0.000 0.000

Properties
For the uncorrected formation energy, the calculation gives 0.29 eV per atom. For the density of states at the Fermi level, the calculation gives 5.01 states/eV/f.u. For the energy above the most stable polymorph in this dataset, the calculation gives 91 meV/atom. The calculation puts the total energy at -37.91 eV/f.u.

---

VASP calculation (GGA-PBE) on a relaxed CrSiRh2 crystal.

a = 5.241 Å, b = 5.241 Å, c = 6.639 Å
α = 66.75°, β = 66.75°, γ = 90.00°
Last column: magnetic moment on the atom in μB.
Element x y z (fractional)
Cr 0.000 0.000 0.000  1.38
Cr 0.750 0.250 0.500  1.36
Rh 0.875 0.874 0.750  -0.10
Rh 0.126 0.625 0.250  -0.09
Rh 0.624 0.125 0.250  -0.10
Rh 0.375 0.376 0.750  -0.11
Si 0.500 0.500 0.000  0.00
Si 0.250 0.750 0.500  0.00

Properties
For the uncorrected formation energy, the calculation gives 0.40 eV per atom. For the density of states at the Fermi level, the calculation gives 3.00 states/eV/f.u. The calculation puts the total energy at -28.15 eV/f.u.

---

VASP calculation (GGA-PBE) on a relaxed CrSiRh2 crystal.

a = 2.805 Å, b = 2.805 Å, c = 6.615 Å
α = 90.00°, β = 90.00°, γ = 90.00°
Last column: magnetic moment on the atom in μB.
Element x y z (fractional)
Rh 0.500 0.500 0.291  0.01
Rh 0.000 0.000 0.974  -0.04
Cr 0.500 0.500 0.733  0.34
Si 0.000 0.000 0.502  -0.01

Properties
For the uncorrected formation energy, the calculation gives -0.35 eV per atom. For the density of states at the Fermi level, the calculation gives 3.35 states/eV/f.u. The calculation puts the total energy at -31.17 eV/f.u.

---

VASP calculation (GGA-PBE) on a relaxed CrSiRh3 crystal.

a = 4.437 Å, b = 4.437 Å, c = 4.437 Å
α = 90.00°, β = 90.00°, γ = 90.00°
Element x y z (fractional)
Rh 0.500 0.000 0.000
Rh 0.000 0.500 0.000
Rh 0.000 0.000 0.500
Si 0.500 0.500 0.500
Cr 0.000 0.000 0.000

Properties
For the uncorrected formation energy, the calculation gives 0.96 eV per atom. For the density of states at the Fermi level, the calculation gives 5.61 states/eV/f.u. For the energy above the most stable polymorph in this dataset, the calculation gives 345 meV/atom. The calculation puts the total energy at -32.29 eV/f.u.

---

VASP calculation (GGA-PBE) on a relaxed CrSiRh3 crystal.

a = 4.351 Å, b = 4.351 Å, c = 4.351 Å
α = 90.00°, β = 90.00°, γ = 90.00°
Last column: magnetic moment on the atom in μB.
Element x y z (fractional)
Si 0.000 0.000 0.000  0.01
Cr 0.500 0.500 0.500  0.39
Rh 0.000 0.500 0.000  -0.02
Rh 0.000 0.000 0.500  -0.08
Rh 0.500 0.000 0.000  0.06

Properties
For the uncorrected formation energy, the calculation gives 0.62 eV per atom. For the density of states at the Fermi level, the calculation gives 9.51 states/eV/f.u. For the energy above the most stable polymorph in this dataset, the calculation gives 0 meV/atom. The calculation puts the total energy at -34.02 eV/f.u.

---

VASP calculation (GGA-PBE) on a relaxed CrSiRh2 crystal.

a = 8.259 Å, b = 8.259 Å, c = 8.259 Å
α = 19.12°, β = 19.12°, γ = 19.12°
Element x y z (fractional)
Cr 0.750 0.750 0.750
Rh 0.504 0.504 0.504
Rh 0.996 0.996 0.996
Si 0.250 0.250 0.250

Properties
For the uncorrected formation energy, the calculation gives -0.21 eV per atom. For the density of states at the Fermi level, the calculation gives 2.55 states/eV/f.u. The calculation puts the total energy at -30.61 eV/f.u.

---

VASP calculation (GGA-PBE) on a relaxed CrSiRh crystal.

a = 2.708 Å, b = 2.708 Å, c = 6.059 Å
α = 90.00°, β = 90.00°, γ = 120.00°
Element x y z (fractional)
Cr 0.000 0.000 0.993
Rh 0.333 0.667 0.337
Si 0.667 0.333 0.670

Properties
For the uncorrected formation energy, the calculation gives -0.16 eV per atom. For the density of states at the Fermi level, the calculation gives 4.06 states/eV/f.u. The calculation puts the total energy at -22.88 eV/f.u.

---

VASP calculation (GGA-PBE) on a relaxed CrSiRh2 crystal.

a = 4.372 Å, b = 4.372 Å, c = 2.848 Å
α = 90.00°, β = 90.00°, γ = 99.96°
Last column: magnetic moment on the atom in μB.
Element x y z (fractional)
Si 0.500 0.000 0.500  -0.02
Cr 0.000 0.500 0.500  2.77
Rh 0.500 0.500 0.000  0.05
Rh 0.000 0.000 0.000  0.05

Properties
For the uncorrected formation energy, the calculation gives -0.40 eV per atom. For the density of states at the Fermi level, the calculation gives 2.77 states/eV/f.u. The calculation puts the total energy at -31.33 eV/f.u.

---

VASP calculation (GGA-PBE) on a relaxed CrSi2Rh crystal.

a = 4.274 Å, b = 4.274 Å, c = 4.274 Å
α = 60.00°, β = 60.00°, γ = 60.00°
Last column: magnetic moment on the atom in μB.
Element x y z (fractional)
Cr 0.500 0.500 0.500  2.71
Rh 0.750 0.750 0.750  0.20
Si 0.000 0.000 0.000  -0.03
Si 0.250 0.250 0.250  -0.03

Properties
For the uncorrected formation energy, the calculation gives 0.00 eV per atom. For the density of states at the Fermi level, the calculation gives 1.19 states/eV/f.u. The calculation puts the total energy at -27.81 eV/f.u.

---

VASP calculation (GGA-PBE) on a relaxed CrSiRh2 crystal.

a = 2.803 Å, b = 3.683 Å, c = 5.252 Å
α = 90.00°, β = 90.00°, γ = 90.00°
Last column: magnetic moment on the atom in μB.
Element x y z (fractional)
Cr 0.500 0.500 0.771  2.08
Rh 0.500 0.500 0.292  0.11
Rh 0.000 0.000 0.960  -0.07
Si 0.000 0.000 0.477  -0.03

Properties
For the uncorrected formation energy, the calculation gives -0.31 eV per atom. For the density of states at the Fermi level, the calculation gives 3.83 states/eV/f.u. The calculation puts the total energy at -30.99 eV/f.u.

---

VASP calculation (GGA-PBE) on a relaxed CrSiRh6 crystal.

a = 3.876 Å, b = 3.876 Å, c = 7.829 Å
α = 75.67°, β = 75.67°, γ = 90.00°
Last column: magnetic moment on the atom in μB.
Element x y z (fractional)
Si 0.500 0.500 0.000  -0.02
Rh 0.616 0.116 0.769  -0.15
Rh 0.747 0.747 0.505  -0.42
Rh 0.253 0.253 0.495  -0.42
Rh 0.884 0.384 0.231  -0.15
Rh 0.384 0.884 0.231  -0.15
Rh 0.116 0.616 0.769  -0.15
Cr 0.000 0.000 0.000  2.31

Properties
For the uncorrected formation energy, the calculation gives -0.21 eV per atom. For the density of states at the Fermi level, the calculation gives 11.15 states/eV/f.u. The calculation puts the total energy at -60.81 eV/f.u.

---

VASP calculation (GGA-PBE) on a relaxed CrSiRh crystal.

a = 4.560 Å, b = 4.560 Å, c = 4.560 Å
α = 145.35°, β = 134.22°, γ = 58.66°
Last column: magnetic moment on the atom in μB.
Element x y z (fractional)
Si 0.664 0.664 0.000  -0.02
Cr 0.007 0.007 0.000  0.85
Rh 0.330 0.330 0.000  -0.03

Properties
For the uncorrected formation energy, the calculation gives -0.24 eV per atom. For the density of states at the Fermi level, the calculation gives 2.91 states/eV/f.u. The calculation puts the total energy at -23.11 eV/f.u.

---

VASP calculation (GGA-PBE) on a relaxed CrSiRh2 crystal.

a = 8.310 Å, b = 8.310 Å, c = 8.310 Å
α = 18.97°, β = 18.97°, γ = 18.97°
Last column: magnetic moment on the atom in μB.
Element x y z (fractional)
Cr 0.752 0.752 0.752  0.14
Si 0.500 0.500 0.500  0.00
Rh 0.242 0.242 0.242  -0.02
Rh 0.006 0.006 0.006  -0.01

Properties
For the uncorrected formation energy, the calculation gives -0.22 eV per atom. For the density of states at the Fermi level, the calculation gives 3.81 states/eV/f.u. The calculation puts the total energy at -30.63 eV/f.u.

---

VASP calculation (GGA-PBE) on a relaxed CrSi2Rh crystal.

a = 4.178 Å, b = 4.178 Å, c = 4.950 Å
α = 78.07°, β = 78.07°, γ = 37.49°
Element x y z (fractional)
Si 0.500 0.500 0.517
Si 0.000 0.000 0.983
Cr 0.750 0.750 0.750
Rh 0.250 0.250 0.250

Properties
For the uncorrected formation energy, the calculation gives -0.30 eV per atom. For the density of states at the Fermi level, the calculation gives 2.47 states/eV/f.u. The calculation puts the total energy at -29.01 eV/f.u.

---

VASP calculation (GGA-PBE) on a relaxed CrSi4Rh crystal.

a = 4.877 Å, b = 4.877 Å, c = 4.877 Å
α = 60.00°, β = 60.00°, γ = 60.00°
Last column: magnetic moment on the atom in μB.
Element x y z (fractional)
Si 0.625 0.125 0.625  -0.04
Si 0.125 0.625 0.625  -0.04
Si 0.625 0.625 0.625  -0.04
Si 0.625 0.625 0.125  -0.04
Rh 0.000 0.000 0.000  0.04
Cr 0.250 0.250 0.250  2.87

Properties
For the uncorrected formation energy, the calculation gives 0.34 eV per atom. For the density of states at the Fermi level, the calculation gives 3.98 states/eV/f.u. The calculation puts the total energy at -36.64 eV/f.u.

---

VASP calculation (GGA-PBE) on a relaxed CrSi2Rh crystal.

a = 4.627 Å, b = 4.627 Å, c = 4.276 Å
α = 74.46°, β = 74.46°, γ = 35.29°
Last column: magnetic moment on the atom in μB.
Element x y z (fractional)
Si 0.003 0.003 0.054  -0.03
Si 0.749 0.749 0.685  -0.03
Cr 0.492 0.492 0.576  1.12
Rh 0.256 0.256 0.184  -0.04

Properties
For the uncorrected formation energy, the calculation gives -0.43 eV per atom. For the density of states at the Fermi level, the calculation gives 2.80 states/eV/f.u. The calculation puts the total energy at -29.53 eV/f.u.

---

VASP calculation (GGA-PBE) on a relaxed CrSi2Rh crystal.

a = 4.877 Å, b = 4.877 Å, c = 4.877 Å
α = 138.29°, β = 138.29°, γ = 60.45°
Element x y z (fractional)
Si 0.250 0.750 0.500
Si 0.000 0.000 0.000
Cr 0.500 0.500 0.000
Rh 0.750 0.250 0.500

Properties
For the uncorrected formation energy, the calculation gives -0.26 eV per atom. For the density of states at the Fermi level, the calculation gives 1.99 states/eV/f.u. The calculation puts the total energy at -28.87 eV/f.u.